Below is KEuPdO3 after structural relaxation, with properties calculated at the GGA-PBE level.

Its spin magnetization is 5.98 μB per formula unit. The formation energy without anion corrections is -1677 meV per atom.

It has space group C2/m (No. 12), with a = 13.300 Å, b = 3.971 Å, c = 7.504 Å, α = 90.00°, β = 104.63° and γ = 90.00°. The inequivalent atoms are K at (0.144, 0.000, 0.065), Eu at (0.152, 0.000, 0.577), Pd at (0.006, 0.500, 0.279), O at (0.007, 0.000, 0.308), O at (0.152, 0.500, 0.779) and O at (0.166, 0.500, 0.367).